[1]
A PBEsol-optimized structure of Zr2CoRe, computed with SCAN.

Computed properties:
Total energy (eV per atom): -37.839
Formation energy (meV/atom): -389
ρ (g cm⁻³): 10.810

Unit cell a=3.2241 b=3.2241 c=6.3190 alpha=90.00 beta=90.00 gamma=90.00
Last column: nearest neighbours and their distance in Å.
Positions (direct):
Zr  0.0000  0.0000  0.2457  4 Co 2.76, 4 Re 2.79
Zr  0.0000  0.0000  0.7543  4 Co 2.76, 4 Re 2.79
Co  0.5000  0.5000  0.0000  8 Zr 2.76
Re  0.5000  0.5000  0.5000  8 Zr 2.79


[2]
A PBEsol-optimized structure of Zr2ZnFe, computed with SCAN.

Computed properties:
Total energy (eV per atom): -23.164
Formation energy (meV/atom): 96
ρ (g cm⁻³): 7.122

Unit cell a=8.0182 b=8.0182 c=8.0182 alpha=23.30 beta=23.30 gamma=23.30
Last column: nearest neighbours and their distance in Å.
Positions (direct):
Zr  0.2402  0.2402  0.2402  3 Fe 2.54
Zr  0.7598  0.7598  0.7598  3 Fe 2.54
Zn  0.0000  0.0000  0.0000  6 Zr 2.87
Fe  0.5000  0.5000  0.5000  6 Zr 2.54


[3]
A PBEsol-optimized structure of InCoAs2, computed with SCAN.

Computed properties:
Total energy (eV per atom): -22.783
Formation energy (meV/atom): -15
ρ (g cm⁻³): 7.267

Unit cell a=4.7148 b=4.7148 c=3.7271 alpha=90.00 beta=90.00 gamma=116.81
Last column: nearest neighbours and their distance in Å.
Positions (direct):
In  0.0000  0.0000  0.0000  2 Co 2.47
Co  0.5000  0.5000  0.0000  4 As 2.32, 2 In 2.47
As  0.3287  0.6713  0.5000  2 Co 2.32
As  0.6713  0.3287  0.5000  2 Co 2.32


[4]
A PBEsol-optimized structure of LaAs2Pb, computed with SCAN.

Computed properties:
Total energy (eV per atom): -40.402
Formation energy (meV/atom): -585
Energy relative to the lowest polymorph listed for this composition (meV/atom): 142.7
ρ (g cm⁻³): 8.351

Unit cell a=5.1860 b=5.1860 c=5.1860 alpha=60.00 beta=60.00 gamma=60.00
Last column: nearest neighbours and their distance in Å.
Positions (direct):
La  0.0000  0.0000  0.0000  8 As 3.18
As  0.2500  0.2500  0.2500  4 La 3.18, 4 Pb 3.18
As  0.7500  0.7500  0.7500  4 Pb 3.18, 4 La 3.18
Pb  0.5000  0.5000  0.5000  8 As 3.18


[5]
A PBEsol-optimized structure of CaCl2, computed with SCAN.

Computed properties:
Total energy (eV per atom): -11.155
Formation energy from raw total energies (eV/atom): -2.615
ρ (g cm⁻³): 2.532

Unit cell a=4.6868 b=4.6868 c=4.6868 alpha=60.00 beta=60.00 gamma=60.00
Last column: nearest neighbours and their distance in Å.
Positions (direct):
Ca  0.0000  0.0000  0.0000  8 Cl 2.87
Cl  0.2500  0.2500  0.2500  4 Ca 2.87
Cl  0.7500  0.7500  0.7500  4 Ca 2.87


[6]
A PBEsol-optimized structure of La2ZnBiRh, computed with SCAN.

Computed properties:
Total energy (eV per atom): -42.681
Formation energy (meV/atom): -266
ρ (g cm⁻³): 7.713

Unit cell a=5.5867 b=5.5867 c=4.5189 alpha=90.00 beta=90.00 gamma=90.00
Last column: nearest neighbours and their distance in Å.
Positions (direct):
La  0.0000  0.5000  0.0000  2 Zn 2.79
La  0.5000  0.0000  0.0000  2 Zn 2.79
Zn  0.0000  0.0000  0.0000  2 Rh 2.26
Bi  0.5000  0.5000  0.5000  8 La 3.59, 4 Rh 3.95
Rh  0.0000  0.0000  0.5000  2 Zn 2.26


[7]
A PBEsol-optimized structure of Fe2SiBr, computed with SCAN.

Computed properties:
Total energy (eV per atom): -16.079
Formation energy from raw total energies (eV/atom): 0.354
Energy relative to the lowest polymorph listed for this composition (meV/atom): 217.2
ρ (g cm⁻³): 6.633

Unit cell a=2.9777 b=2.9777 c=6.2022 alpha=90.00 beta=90.00 gamma=90.00
Last column: nearest neighbours and their distance in Å.
Positions (direct):
Fe  0.0000  0.0000  0.1889  1 Fe 2.34, 4 Si 2.41
Fe  0.0000  0.0000  0.8111  1 Fe 2.34, 4 Si 2.41
Si  0.5000  0.5000  0.0000  8 Fe 2.41
Br  0.5000  0.5000  0.5000  8 Fe 2.86, 4 Br 2.98, 2 Si 3.10


[8]
A PBEsol-optimized structure of SrBeNi2, computed with SCAN.

Computed properties:
Total energy (eV per atom): -14.157
Formation energy (meV/atom): 587
Energy relative to the lowest polymorph listed for this composition (meV/atom): 685.3
ρ (g cm⁻³): 5.845

Unit cell a=4.5417 b=4.5417 c=4.5417 alpha=124.77 beta=124.77 gamma=81.92
Last column: nearest neighbours and their distance in Å.
Positions (direct):
Sr  0.0000  0.0000  0.0000  8 Ni 2.72, 4 Be 2.98
Be  0.5000  0.5000  0.0000  8 Ni 2.72, 4 Sr 2.98
Ni  0.2500  0.7500  0.5000  4 Be 2.72, 4 Sr 2.72, 4 Ni 2.98
Ni  0.7500  0.2500  0.5000  4 Be 2.72, 4 Sr 2.72, 4 Ni 2.98